! NdBiCl2O2 | the Open Quantum Materials Database | PBE | optimized geometry; values from VASP
&SYSTEM
  ibrav = 0, nat = 6, ntyp = 4
/
ATOMIC_SPECIES
Bi 208.98 Bi.upf
Cl 35.45 Cl.upf
Nd 144.24 Nd.upf
O 16.00 O.upf
ATOMIC_POSITIONS crystal
Bi 0.0000 0.0000 0.1634
Cl 0.5000 0.5000 0.3802
Cl 0.0000 0.0000 0.6487
Nd 0.5000 0.5000 0.8131
O 0.5000 0.0000 0.9973
O 0.0000 0.5000 0.9973
CELL_PARAMETERS angstrom
-2.9240 -2.0063 1.8408
1.9274 0.3829 3.4788
-3.3806 6.0359 1.2088
! SG: P4mm
! VASP energy in eV/cell: -35.27
! Calculated volume in Å³/atom: 18.7